{"formula": "Tl3BiW2O9", "functional": "PBE+U", "state": "optimized geometry", "crystal_system": "trigonal", "total_energy_ev_per_cell": -92.0, "spacegroup": "P-3m1", "lattice": [[5.933, 0.000, 0.000], [-2.967, 5.138, 0.000], [0.000, 0.000, 7.430]], "species": ["Tl", "Tl", "Tl", "Bi", "W", "W", "O", "O", "O", "O", "O", "O", "O", "O", "O"], "frac_coords": [[0.000, 0.000, 0.000], [0.333, 0.667, 0.673], [0.667, 0.333, 0.327], [0.000, 0.000, 0.500], [0.333, 0.667, 0.159], [0.667, 0.333, 0.841], [0.000, 0.500, 0.000], [0.180, 0.361, 0.301], [0.180, 0.820, 0.301], [0.361, 0.180, 0.699], [0.500, 0.000, 0.000], [0.500, 0.500, 0.000], [0.639, 0.820, 0.301], [0.820, 0.180, 0.699], [0.820, 0.639, 0.699]]}